Record 1
Entry from the Alexandria database: a relaxed TaBRh2 crystal (PBE).

Summary:
Size of the total moment (μB per formula unit): 0.000
Uncorrected energy (eV per atom): -8.14
Theoretical density (g cm⁻³): 9.8
DFT formation energy (eV/atom): 0.165

a = 5.4296 Å, b = 5.4296 Å, c = 9.1184 Å
α = 90.00°, β = 90.00°, γ = 90.00°
Space group I-42d (No. 122)
Unique sites:
Ta 0.0000 0.0000 0.0000 (multiplicity 4)
B 0.0000 0.0000 0.5000 (multiplicity 4)
Rh 0.1725 0.2500 0.6250 (multiplicity 8)

---

Record 2
Entry from the Alexandria database: a relaxed TaB4Rh crystal (PBE).

Summary:
Size of the total moment (μB per formula unit): 0.000
Uncorrected energy (eV per atom): -7.87
Theoretical density (g cm⁻³): 9.8
DFT formation energy (eV/atom): -0.214

a = 5.8646 Å, b = 11.3924 Å, c = 3.3179 Å
α = 90.00°, β = 90.00°, γ = 90.00°
Space group Pbam (No. 55)
Unique sites:
Ta 0.1293 0.1496 0.0000 (multiplicity 4)
B 0.0226 0.6972 0.5000 (multiplicity 4)
B 0.1202 0.5504 0.5000 (multiplicity 4)
B 0.1273 0.9693 0.5000 (multiplicity 4)
B 0.1991 0.8101 0.5000 (multiplicity 4)
Rh 0.1437 0.4030 0.0000 (multiplicity 4)

---

Record 3
Entry from the Alexandria database: a relaxed Th3TaB2Rh9 crystal (PBE).

Summary:
Size of the total moment (μB per formula unit): 0.000
Uncorrected energy (eV per atom): -8.30
Theoretical density (g cm⁻³): 11.6
DFT formation energy (eV/atom): -0.728

a = 5.9242 Å, b = 5.9242 Å, c = 8.5897 Å
α = 90.00°, β = 90.00°, γ = 120.00°
Space group P-3m1 (No. 164)
Unique sites:
Th 0.0000 0.0000 0.0000 (multiplicity 1)
Th 0.3333 0.6667 0.6606 (multiplicity 2)
Ta 0.0000 0.0000 0.5000 (multiplicity 1)
B 0.3333 0.6667 0.1429 (multiplicity 2)
Rh 0.0000 0.5000 0.0000 (multiplicity 3)
Rh 0.1691 0.3381 0.2872 (multiplicity 6)

---

Record 4
Entry from the Alexandria database: a relaxed TaTlB2Rh crystal (PBE).

Summary:
Size of the total moment (μB per formula unit): 0.000
Distance to the lowest polymorph of the same formula (meV per atom): 0
Uncorrected energy (eV per atom): -5.69
Theoretical density (g cm⁻³): 9.0
DFT formation energy (eV/atom): 1.293

a = 4.3778 Å, b = 4.3778 Å, c = 4.9351 Å
α = 90.00°, β = 90.00°, γ = 90.00°
Space group P4/mmm (No. 123)
Unique sites:
Ta 0.0000 0.0000 0.0000 (multiplicity 1)
Tl 0.5000 0.5000 0.5000 (multiplicity 1)
B 0.0000 0.5000 0.0000 (multiplicity 2)
Rh 0.0000 0.0000 0.5000 (multiplicity 1)